(1)
# Ag2Bi2S3Cl2 (PBE, optimized geometry)
# - raw formation energy (meV per atom) = -448
data_Ag2Bi2S3Cl2
_cell_length_a 7.301
_cell_length_b 11.417
_cell_length_c 11.459
_cell_angle_alpha 107.45
_cell_angle_beta 90.02
_cell_angle_gamma 90.23
_space_group_name_H-M_alt 'P -1'
_space_group_IT_number 2
_space_group_name_Hall '-P 1'
loop_
_atom_site_label
_atom_site_type_symbol
_atom_site_fract_x
_atom_site_fract_y
_atom_site_fract_z
_atom_site_occupancy
Ag1 Ag 0.001 0.200 0.280 1
Ag2 Ag 0.248 0.987 0.159 1
Ag3 Ag 0.252 0.988 0.672 1
Ag4 Ag 0.494 0.800 0.218 1
Bi1 Bi 0.090 0.702 0.355 1
Bi2 Bi 0.096 0.299 0.979 1
Bi3 Bi 0.406 0.298 0.481 1
Bi4 Bi 0.409 0.700 0.852 1
S1 S 0.001 0.136 0.766 1
S2 S 0.105 0.158 0.467 1
S3 S 0.113 0.843 0.931 1
S4 S 0.386 0.845 0.430 1
S5 S 0.396 0.159 0.968 1
S6 S 0.496 0.136 0.266 1
Cl1 Cl 0.233 0.398 0.251 1
Cl2 Cl 0.242 0.597 0.563 1
Cl3 Cl 0.254 0.596 0.062 1
Cl4 Cl 0.271 0.398 0.752 1



(2)
# Ce2Y3ErP6 (PBE, optimized geometry)
# - calculated total energy (eV per atom) = -7.2764
data_Ce2Y3ErP6
_cell_length_a 6.978
_cell_length_b 12.086
_cell_length_c 6.973
_cell_angle_alpha 90.00
_cell_angle_beta 109.49
_cell_angle_gamma 90.00
_space_group_name_H-M_alt 'C 1 2/m 1'
_space_group_IT_number 12
_space_group_name_Hall '-C 2y'
loop_
_atom_site_label
_atom_site_type_symbol
_atom_site_fract_x
_atom_site_fract_y
_atom_site_fract_z
_atom_site_occupancy
Ce1 Ce 0.000 0.167 0.000 1
Y1 Y 0.000 0.000 0.500 1
Y2 Y 0.000 0.333 0.500 1
Er1 Er 0.000 0.500 0.000 1
P1 P 0.248 0.500 0.749 1
P2 P 0.249 0.334 0.249 1



(3)
# LiEr12Ni6 (PBE, optimized geometry)
# - calculated total energy (eV per atom) = -4.9840
data_LiEr12Ni6
_cell_length_a 13.7045
_cell_length_b 13.7045
_cell_length_c 8.6382
_cell_angle_alpha 90.00
_cell_angle_beta 90.00
_cell_angle_gamma 120.00
_space_group_name_H-M_alt 'R -3'
_space_group_IT_number 148
_space_group_name_Hall '-R 3'
loop_
_atom_site_label
_atom_site_type_symbol
_atom_site_fract_x
_atom_site_fract_y
_atom_site_fract_z
_atom_site_occupancy
Li1 Li 0.0000 0.0000 0.0000 1
Er1 Er 0.0378 0.7755 0.9284 1
Er2 Er 0.0623 0.8821 0.3344 1
Ni1 Ni 0.0767 0.5734 0.2916 1



(4)
# SmTcGe2 (PBE, optimized geometry)
# - calculated total energy (eV per atom) = -5.1100
data_SmTcGe2
_cell_length_a 4.8279
_cell_length_b 4.8279
_cell_length_c 19.3881
_cell_angle_alpha 90.00
_cell_angle_beta 90.00
_cell_angle_gamma 120.00
_space_group_name_H-M_alt 'R -3 m'
_space_group_IT_number 166
_space_group_name_Hall '-R 3 2"'
loop_
_atom_site_label
_atom_site_type_symbol
_atom_site_fract_x
_atom_site_fract_y
_atom_site_fract_z
_atom_site_occupancy
Sm1 Sm 0.0000 0.0000 0.0000 1
Tc1 Tc 0.0000 0.0000 0.5000 1
Ge1 Ge 0.0000 0.0000 0.3764 1



(5)
# TbIrRh4 (PBE, optimized geometry)
# - calculated total energy (eV per atom) = -7.3180
data_TbIrRh4
_cell_length_a 7.859
_cell_length_b 3.951
_cell_length_c 6.636
_cell_angle_alpha 90.00
_cell_angle_beta 90.00
_cell_angle_gamma 90.00
_space_group_name_H-M_alt 'P m m a'
_space_group_IT_number 51
_space_group_name_Hall '-P 2a 2a'
loop_
_atom_site_label
_atom_site_type_symbol
_atom_site_fract_x
_atom_site_fract_y
_atom_site_fract_z
_atom_site_occupancy
Tb1 Tb 0.250 0.000 0.148 1
Ir1 Ir 0.250 0.000 0.738 1
Rh1 Rh 0.000 0.000 0.500 1
Rh2 Rh 0.048 0.500 0.807 1
Rh3 Rh 0.250 0.500 0.467 1



(6)
# Cs2PaPt3O12 (PBE, optimized geometry)
# - raw formation energy (meV per atom) = -1192
data_Cs2PaPt3O12
_cell_length_a 7.3015
_cell_length_b 7.3015
_cell_length_c 19.3202
_cell_angle_alpha 90.00
_cell_angle_beta 90.00
_cell_angle_gamma 120.00
_space_group_name_H-M_alt 'R -3 m'
_space_group_IT_number 166
_space_group_name_Hall '-R 3 2"'
loop_
_atom_site_label
_atom_site_type_symbol
_atom_site_fract_x
_atom_site_fract_y
_atom_site_fract_z
_atom_site_occupancy
Cs1 Cs 0.0000 0.0000 0.1183 1
Pa1 Pa 0.0000 0.0000 0.5000 1
Pt1 Pt 0.0000 0.5000 0.0000 1
O1 O 0.0612 0.5306 0.3509 1
O2 O 0.0628 0.5314 0.1004 1



(7)
# Cr2CdPt (PBE, optimized geometry)
# - calculated total energy (eV per atom) = -6.4891
data_Cr2CdPt
_cell_length_a 2.960
_cell_length_b 2.960
_cell_length_c 7.072
_cell_angle_alpha 90.00
_cell_angle_beta 90.00
_cell_angle_gamma 90.00
_space_group_name_H-M_alt 'P 4 m m'
_space_group_IT_number 99
_space_group_name_Hall 'P 4 -2'
loop_
_atom_site_label
_atom_site_type_symbol
_atom_site_fract_x
_atom_site_fract_y
_atom_site_fract_z
_atom_site_occupancy
Cr1 Cr 0.000 0.000 0.000 1
Cr2 Cr 0.500 0.500 0.174 1
Cd1 Cd 0.500 0.500 0.706 1
Pt1 Pt 0.000 0.000 0.420 1



(8)
# MnVCr (PBE, optimized geometry)
# - calculated total energy (eV per atom) = -9.4570
data_MnVCr
_cell_length_a 2.868
_cell_length_b 2.868
_cell_length_c 8.606
_cell_angle_alpha 90.00
_cell_angle_beta 90.00
_cell_angle_gamma 90.00
_space_group_name_H-M_alt 'P 4 m m'
_space_group_IT_number 99
_space_group_name_Hall 'P 4 -2'
loop_
_atom_site_label
_atom_site_type_symbol
_atom_site_fract_x
_atom_site_fract_y
_atom_site_fract_z
_atom_site_occupancy
Mn1 Mn 0.000 0.000 0.000 1
Mn2 Mn 0.000 0.000 0.334 1
V1 V 0.500 0.500 0.167 1
V2 V 0.500 0.500 0.501 1
Cr1 Cr 0.000 0.000 0.673 1
Cr2 Cr 0.500 0.500 0.834 1



(9)
# AcPm2Pb (PBE, optimized geometry)
# - calculated total energy (eV per atom) = -4.5534
data_AcPm2Pb
_cell_length_a 13.934
_cell_length_b 5.654
_cell_length_c 6.993
_cell_angle_alpha 90.00
_cell_angle_beta 90.00
_cell_angle_gamma 90.00
_space_group_name_H-M_alt 'P n m a'
_space_group_IT_number 62
_space_group_name_Hall '-P 2ac 2n'
loop_
_atom_site_label
_atom_site_type_symbol
_atom_site_fract_x
_atom_site_fract_y
_atom_site_fract_z
_atom_site_occupancy
Ac1 Ac 0.141 0.250 0.085 1
Pm1 Pm 0.048 0.750 0.353 1
Pm2 Pm 0.201 0.250 0.595 1
Pb1 Pb 0.105 0.750 0.805 1



Number 1: total magnetization 0.00 μB/f.u.. Number 2: total magnetization 0.83 μB/f.u.. Number 3: total magnetization 0.00 μB/f.u.. Number 4: total magnetization 2.83 μB/f.u.. Number 5: total magnetization 0.00 μB/f.u.. Number 6: total magnetization 1.32 μB/f.u.. Number 7: total magnetization 0.32 μB/f.u.. Number 8: total magnetization 0.07 μB/f.u.. Number 9: total magnetization 0.00 μB/f.u..